Entry from Alexandria: an optimized crystal structure of Pm3Sm2Tm (GGA-PBE).

extended XYZ file:
```
12
Lattice="3.458 0.000 -0.657 -0.315 10.215 -1.660 0.442 -1.796 11.755" Properties=species:S:1:pos:R:3 pbc="T T T"
Pm 2.349 6.634 2.935
Pm 3.527 0.721 9.134
Pm 1.848 4.255 0.298
Pm 1.236 1.785 6.503
Pm 1.737 4.164 9.140
Pm 0.058 7.697 0.304
Sm 2.449 3.081 3.460
Sm 1.136 5.338 5.978
Sm 0.266 1.126 1.402
Sm 3.318 7.293 8.035
Tm 2.539 -0.282 3.936
Tm 1.045 8.701 5.501
```

Computed properties:
Crystal system: monoclinic
Formation energy: 0.117 eV per atom
Space group: C2/m (12)
Fermi-level density of states: 19.14 states/eV per cell
ΔE to the lowest computed polymorph: 119 meV/atom